# K2BaBeAs2 PBE optimized geometry
data_K2BaBeAs2
_symmetry_space_group_name_H-M 'I b a m'
_symmetry_Int_Tables_number 72
_symmetry_space_group_name_Hall '-I 2 2c'
_cell_length_a 7.584
_cell_length_b 14.196
_cell_length_c 7.065
_cell_angle_alpha 90.00
_cell_angle_beta 90.00
_cell_angle_gamma 90.00
loop_
_atom_site_label
_atom_site_type_symbol
_atom_site_fract_x
_atom_site_fract_y
_atom_site_fract_z
K1 K 0.184 0.186 0.000
Ba1 Ba 0.000 0.500 0.250
Be1 Be 0.000 0.000 0.250
As1 As 0.177 0.078 0.500
# * energy of formation from the pure elements: -40.16 kJ/mol of atoms
# * DOS at the Fermi energy: 1.13 states/eV/cell



# TbTmC PBE optimized geometry
data_TbTmC
_symmetry_space_group_name_H-M 'C 1 2/m 1'
_symmetry_Int_Tables_number 12
_cell_length_a 12.379
_cell_length_b 3.576
_cell_length_c 6.191
_cell_angle_alpha 90.00
_cell_angle_beta 99.66
_cell_angle_gamma 90.00
loop_
_symmetry_equiv_pos_as_xyz
'x,y,z'
'-x,-y,-z'
'-x,y,-z'
'x,-y,z'
'x+1/2,y+1/2,z'
'-x+1/2,-y+1/2,-z'
'-x+1/2,y+1/2,-z'
'x+1/2,-y+1/2,z'
loop_
_atom_site_label
_atom_site_type_symbol
_atom_site_fract_x
_atom_site_fract_y
_atom_site_fract_z
Tb1 Tb 0.112 0.000 0.371
Tm1 Tm 0.107 0.500 0.870
C1 C 0.000 0.000 0.000
C2 C 0.000 0.500 0.500
# * energy of formation from the pure elements: -28.56 kJ/mol of atoms
# * DOS at the Fermi energy: 8.15 states/eV/cell
# * E above lowest polymorph: 1 meV/atom